This record from Alexandria describes a relaxed structure of NaTh2Sc. The functional is PBE-GGA.

Calculated formation energy   0.23 eV/atom
Crystal system   trigonal
ρ   6.91 g/cm3

Cell lengths 3.4053, 3.4053, 12.8753 Å; angles 82.40, 82.40, 60.00 degrees
Fractional positions:
Sc 0.5000 0.5000 0.5000
Na 0.0000 0.0000 0.0000
Th 0.0931 0.0931 0.7206
Th 0.9069 0.9069 0.2794



This record from Alexandria describes a relaxed structure of Na3ScTi. The functional is PBE-GGA.

Calculated formation energy   1.26 eV/atom
Excess energy over the best structure of this formula in the dataset   0 meV/atom
Crystal system   cubic
ρ   1.59 g/cm3

Cell lengths 5.5270, 5.5270, 5.5270 Å; angles 90.00, 90.00, 90.00 degrees
Each line ends with the local moment (μB).
Fractional positions:
Sc 0.5000 0.5000 0.5000  -0.36
Na 0.0000 0.5000 0.0000  0.03
Na 0.0000 0.0000 0.5000  0.01
Na 0.5000 0.0000 0.0000  0.03
Ti 0.0000 0.0000 0.0000  2.14



This record from Alexandria describes a relaxed structure of NaScTi. The functional is PBE-GGA.

Calculated formation energy   0.21 eV/atom
Excess energy over the best structure of this formula in the dataset   101 meV/atom
Crystal system   triclinic
ρ   2.71 g/cm3

Cell lengths 16.4471, 3.1582, 3.1569 Å; angles 119.96, 90.49, 89.48 degrees
Each line ends with the local moment (μB).
Fractional positions:
Sc 0.8554 0.9455 0.8695  0.14
Sc 0.6971 0.6173 0.1985  -0.05
Na 0.5091 0.9608 0.8666  0.00
Na 0.3073 0.5985 0.2219  0.00
Ti 0.0056 0.6056 0.2068  -0.03
Ti 0.1323 0.9355 0.8775  0.27